(A)
La2ErNi | PBE | relaxed

Summary:
The space group is P4/mmm. As for the magnetic moment: 0.50 μB per formula unit.

Cell: 3.6465 3.6465 8.5130 Å, 90.00 90.00 90.00°
Fractional coordinates of all 4 atoms:
La 0.0000 0.0000 0.1960
La 0.0000 0.0000 0.8040
Er 0.5000 0.5000 0.5000
Ni 0.5000 0.5000 0.0000

=====

(B)
La2ErNi | PBE | relaxed

Summary:
The space group is R3m. As for the magnetic moment: 0.00 μB per formula unit.

Cell: 9.5937 9.5937 9.5937 Å, 23.24 23.24 23.24°
Fractional coordinates of all 4 atoms:
La 0.0000 0.0000 0.0000
La 0.2085 0.2085 0.2085
Er 0.7717 0.7717 0.7717
Ni 0.6044 0.6044 0.6044

=====

Tell me which of them is the most stable. Sure, it is (A).

=====

(A)
LaErO | PBE | relaxed

Summary:
The space group is Imma. As for the magnetic moment: 0.00 μB per formula unit.

Cell: 6.0553 6.0553 6.0553 Å, 118.07 94.27 117.07°
Fractional coordinates of all 6 atoms:
La 0.0000 0.0000 0.0000
La 0.5000 0.0000 0.5000
Er 0.2551 0.5051 0.7500
Er 0.7449 0.4949 0.2500
O 0.0728 0.8228 0.2500
O 0.9272 0.1772 0.7500

=====

(B)
LaErO | PBE | relaxed

Summary:
The space group is P3m1. As for the magnetic moment: 0.09 μB per formula unit.

Cell: 3.5837 3.5837 6.1475 Å, 90.00 90.00 120.00°
Fractional coordinates of all 3 atoms:
La 0.0000 0.0000 0.0000
Er 0.3333 0.6667 0.4564
O 0.6667 0.3333 0.2831

=====

Tell me which of them is the most stable. Sure, it is (B).